This record from the Alexandria database describes a geometry-optimized AlPtO2 structure. The functional is PBE.

Summary:
**Size of the total moment**: 0.00 Bohr magnetons per cell
**Crystal system**: monoclinic
**E_form (uncorrected)**: -1.52 eV per atom
**E_tot**: -25.79 eV/f.u.

Cell lengths 8.9808, 9.7331, 10.2186 Å; angles 90.00, 90.31, 90.00 degrees
Space group C2/c (No. 15)
Symmetry-distinct sites (fractional):
Al1 0.1306 0.1484 0.1280 x8
Al2 0.1375 0.3765 0.3402 x8
Pt1 0.0999 0.2382 0.8963 x8
Pt2 0.1264 0.0231 0.4128 x8
O1 0.0000 0.0730 0.2500 x4
O2 0.0000 0.4578 0.2500 x4
O3 0.0454 0.2447 0.4443 x8
O4 0.2355 0.2552 0.2390 x8
O5 0.2461 0.0008 0.0829 x8